A plane-wave DFT calculation with PBE was carried out for a geometry-optimized Tb5Pr2Th structure.

Lattice parameters (Å, degrees): 7.1821 14.3901 5.1234 90.00 90.00 90.00
With the nearest neighbours (Å) after each atom.
Space group Pbam (No. 55)
Asymmetric unit:
Tb1 0.0000 0.0000 0.0000  2 Th 3.59, 4 Pr 3.60, 6 Tb 3.62
Tb2 0.0059 0.2516 0.0000  1 Th 3.58, 4 Pr 3.58-3.66, 7 Tb 3.59-3.65
Tb3 0.2404 0.6222 0.5000  4 Pr 3.51-3.67, 2 Th 3.55, 6 Tb 3.60-3.65
Pr1 0.2484 0.3765 0.5000  10 Tb 3.51-3.67, 2 Th 3.59
Th1 0.0000 0.5000 0.0000  8 Tb 3.55-3.59, 4 Pr 3.59

The value obtained for the spin magnetization is 0.000 μB/atom. Its formation enthalpy at 0 K is 0.03 eV/atom. As for the volume: 33.09 A^3/atom. The value obtained for the density of states at the Fermi level is 22.60 states/eV/cell. Its final energy is -79.77 eV per cell.